[1]
Here is Sr2CoRh after structural relaxation from the Alexandria database. Energies are from PBE-GGA.

Values from the calculation:
ΔE to the lowest computed polymorph   582.5 meV per atom
Symmetry   I-42d (122)
Electronic total energy   -3.887 eV per atom

abc: 8.0341 8.0341 6.4868
angles: 51.74 51.74 90.00
Fractional coordinates of all 8 atoms:
Sr1 0.6368 0.1250 0.2500
Sr2 0.1132 0.6250 0.2500
Sr3 0.3750 0.3632 0.7500
Sr4 0.8750 0.8868 0.7500
Rh1 0.0000 0.0000 0.0000
Rh2 0.7500 0.2500 0.5000
Co1 0.5000 0.5000 0.0000
Co2 0.2500 0.7500 0.5000

***

[2]
Here is SrCoRh2 after structural relaxation from the Alexandria database. Energies are from PBE-GGA.

Values from the calculation:
ΔE to the lowest computed polymorph   369.3 meV per atom
Symmetry   Imm2 (44)
Electronic total energy   -5.515 eV per atom

abc: 5.7198 5.7198 5.7198
angles: 150.04 130.09 59.31
Fractional coordinates of all 4 atoms:
Co1 0.2167 0.7167 0.5000
Rh1 0.0090 0.0090 0.0000
Rh2 0.7775 0.2775 0.5000
Sr1 0.4968 0.4968 0.0000

***

[3]
Here is SrCo2Rh after structural relaxation from the Alexandria database. Energies are from PBE-GGA.

Values from the calculation:
Symmetry   Imm2 (44)
Electronic total energy   -5.347 eV per atom

abc: 5.4451 5.4451 5.4451
angles: 147.54 126.61 63.89
Fractional coordinates of all 4 atoms:
Co1 0.9538 0.9538 0.0000
Co2 0.7625 0.2625 0.5000
Rh1 0.5368 0.5368 0.0000
Sr1 0.2469 0.7469 0.5000

***

[4]
Here is SrCoRh2 after structural relaxation from the Alexandria database. Energies are from PBE-GGA.

Values from the calculation:
ΔE to the lowest computed polymorph   0.0 meV per atom
Symmetry   R-3m (166)
Electronic total energy   -5.884 eV per atom

abc: 5.8825 5.8825 5.8825
angles: 43.07 43.07 43.07
Fractional coordinates of all 4 atoms:
Co1 0.7500 0.7500 0.7500
Rh1 0.0633 0.0633 0.0633
Rh2 0.4367 0.4367 0.4367
Sr1 0.2500 0.2500 0.2500

***

[5]
Here is SrCo3Rh after structural relaxation from the Alexandria database. Energies are from PBE-GGA.

Values from the calculation:
ΔE to the lowest computed polymorph   0.0 meV per atom
Symmetry   Pm-3m (221)
Electronic total energy   -5.377 eV per atom

abc: 4.6775 4.6775 4.6775
angles: 90.00 90.00 90.00
Fractional coordinates of all 5 atoms:
Sr1 0.5000 0.5000 0.5000
Rh1 0.0000 0.0000 0.0000
Co1 0.0000 0.5000 0.0000
Co2 0.0000 0.0000 0.5000
Co3 0.5000 0.0000 0.0000

***

[6]
Here is Sr2CoRh after structural relaxation from the Alexandria database. Energies are from PBE-GGA.

Values from the calculation:
ΔE to the lowest computed polymorph   341.8 meV per atom
Symmetry   Fm-3m (225)
Electronic total energy   -4.128 eV per atom

abc: 5.2023 5.2023 5.2023
angles: 60.00 60.00 60.00
Fractional coordinates of all 4 atoms:
Sr1 0.2500 0.2500 0.2500
Sr2 0.7500 0.7500 0.7500
Rh1 0.5000 0.5000 0.5000
Co1 0.0000 0.0000 0.0000